# 1
# Sr3Ga2I8

A relaxed structure of Sr3Ga2I8 (PBE, the Alexandria database).

Cell and atoms, written as CIF:
```
data_Sr3Ga2I8
_chemical_formula_sum 'Sr6 Ga4 I16'
_symmetry_space_group_name_H-M 'C 1 2/m 1'
_symmetry_Int_Tables_number 12
_cell_length_a 15.2575
_cell_length_b 9.7198
_cell_length_c 8.2575
_cell_angle_alpha 90.00
_cell_angle_beta 92.24
_cell_angle_gamma 90.00
loop_
_symmetry_equiv_pos_as_xyz
'x,y,z'
'-x,-y,-z'
'-x,y,-z'
'x,-y,z'
'x+1/2,y+1/2,z'
'-x+1/2,-y+1/2,-z'
'-x+1/2,y+1/2,-z'
'x+1/2,-y+1/2,z'
loop_
_atom_site_label
_atom_site_type_symbol
_atom_site_fract_x
_atom_site_fract_y
_atom_site_fract_z
Sr1 Sr 0.0000 0.0000 0.0000
Sr2 Sr 0.0000 0.2514 0.5000
Ga1 Ga 0.2214 0.5000 0.0357
I1 I 0.1188 0.0000 0.3401
I2 I 0.1206 0.5000 0.3566
I3 I 0.1269 0.2325 0.8367
```

Summary:
* Fermi-level density of states: 0.000 states/eV per atom
* uncorrected formation energy: -1264 meV per atom

# 2
# Sr2GaI

A relaxed structure of Sr2GaI (PBE, the Alexandria database).

Cell and atoms, written as CIF:
```
data_Sr2GaI
_chemical_formula_sum 'Sr8 Ga4 I4'
_symmetry_space_group_name_H-M 'F m -3 m'
_symmetry_Int_Tables_number 225
_symmetry_space_group_name_Hall '-F 4 2 3'
_cell_length_a 8.2352
_cell_length_b 8.2352
_cell_length_c 8.2352
_cell_angle_alpha 90.00
_cell_angle_beta 90.00
_cell_angle_gamma 90.00
loop_
_atom_site_label
_atom_site_type_symbol
_atom_site_fract_x
_atom_site_fract_y
_atom_site_fract_z
Sr1 Sr 0.2500 0.2500 0.2500
Ga1 Ga 0.0000 0.0000 0.0000
I1 I 0.0000 0.0000 0.5000
```

Summary:
* Fermi-level density of states: 0.981 states/eV per atom
* uncorrected formation energy: -524 meV per atom

# 3
# SrGaI4

A relaxed structure of SrGaI4 (PBE, the Alexandria database).

Cell and atoms, written as CIF:
```
data_SrGaI4
_chemical_formula_sum 'Sr2 Ga2 I8'
_symmetry_space_group_name_H-M 'I -4'
_symmetry_Int_Tables_number 82
_cell_length_a 8.0631
_cell_length_b 8.0631
_cell_length_c 8.3076
_cell_angle_alpha 90.00
_cell_angle_beta 90.00
_cell_angle_gamma 90.00
loop_
_symmetry_equiv_pos_as_xyz
'x,y,z'
'y,-x,-z'
'-x,-y,z'
'-y,x,-z'
'x+1/2,y+1/2,z+1/2'
'y+1/2,-x+1/2,-z+1/2'
'-x+1/2,-y+1/2,z+1/2'
'-y+1/2,x+1/2,-z+1/2'
loop_
_atom_site_label
_atom_site_type_symbol
_atom_site_fract_x
_atom_site_fract_y
_atom_site_fract_z
Sr1 Sr 0.0000 0.0000 0.0000
Ga1 Ga 0.0000 0.5000 0.7500
I1 I 0.2462 0.7492 0.2505
```

Summary:
* Fermi-level density of states: 0.431 states/eV per atom
* uncorrected formation energy: -833 meV per atom

# 4
# Sr3Ga5I12

A relaxed structure of Sr3Ga5I12 (PBE, the Alexandria database).

Cell and atoms, written as CIF:
```
data_Sr3Ga5I12
_chemical_formula_sum 'Sr24 Ga40 I96'
_symmetry_space_group_name_H-M 'I a -3 d'
_symmetry_Int_Tables_number 230
_symmetry_space_group_name_Hall '-I 4bd 2c 3'
_cell_length_a 19.1893
_cell_length_b 19.1893
_cell_length_c 19.1893
_cell_angle_alpha 90.00
_cell_angle_beta 90.00
_cell_angle_gamma 90.00
loop_
_atom_site_label
_atom_site_type_symbol
_atom_site_fract_x
_atom_site_fract_y
_atom_site_fract_z
Sr1 Sr 0.0000 0.2500 0.1250
Ga1 Ga 0.0000 0.0000 0.0000
Ga2 Ga 0.0000 0.2500 0.3750
I1 I 0.0204 0.0669 0.6540
```

Summary:
* Fermi-level density of states: 0.528 states/eV per atom
* uncorrected formation energy: -849 meV per atom

# 5
# Sr2GaI

A relaxed structure of Sr2GaI (PBE, the Alexandria database).

Cell and atoms, written as CIF:
```
data_Sr2GaI
_chemical_formula_sum 'Sr8 Ga4 I4'
_symmetry_space_group_name_H-M 'I -4 2 d'
_symmetry_Int_Tables_number 122
_symmetry_space_group_name_Hall 'I -4 2bw'
_cell_length_a 8.6351
_cell_length_b 8.6351
_cell_length_c 8.7775
_cell_angle_alpha 90.00
_cell_angle_beta 90.00
_cell_angle_gamma 90.00
loop_
_atom_site_label
_atom_site_type_symbol
_atom_site_fract_x
_atom_site_fract_y
_atom_site_fract_z
Sr1 Sr 0.2328 0.7500 0.1250
Ga1 Ga 0.0000 0.0000 0.0000
I1 I 0.0000 0.0000 0.5000
```

Summary:
* Fermi-level density of states: 0.875 states/eV per atom
* uncorrected formation energy: -522 meV per atom

# 6
# Sr2GaI

A relaxed structure of Sr2GaI (PBE, the Alexandria database).

Cell and atoms, written as CIF:
```
data_Sr2GaI
_chemical_formula_sum 'Sr4 Ga2 I2'
_symmetry_space_group_name_H-M 'P 1 21/m 1'
_symmetry_Int_Tables_number 11
_cell_length_a 6.5594
_cell_length_b 4.5809
_cell_length_c 9.6794
_cell_angle_alpha 90.00
_cell_angle_beta 101.00
_cell_angle_gamma 90.00
loop_
_symmetry_equiv_pos_as_xyz
'x,y,z'
'-x,-y,-z'
'-x,y+1/2,-z'
'x,-y+1/2,z'
loop_
_atom_site_label
_atom_site_type_symbol
_atom_site_fract_x
_atom_site_fract_y
_atom_site_fract_z
Sr1 Sr 0.1719 0.2500 0.1400
Sr2 Sr 0.3138 0.2500 0.7180
Ga1 Ga 0.3724 0.7500 0.9613
I1 I 0.2267 0.7500 0.4211
```

Summary:
* Fermi-level density of states: 0.473 states/eV per atom
* uncorrected formation energy: -870 meV per atom

# 7
# SrGaI2

A relaxed structure of SrGaI2 (PBE, the Alexandria database).

Cell and atoms, written as CIF:
```
data_SrGaI2
_chemical_formula_sum 'Sr4 Ga4 I8'
_symmetry_space_group_name_H-M 'F m -3 m'
_symmetry_Int_Tables_number 225
_symmetry_space_group_name_Hall '-F 4 2 3'
_cell_length_a 8.2058
_cell_length_b 8.2058
_cell_length_c 8.2058
_cell_angle_alpha 90.00
_cell_angle_beta 90.00
_cell_angle_gamma 90.00
loop_
_atom_site_label
_atom_site_type_symbol
_atom_site_fract_x
_atom_site_fract_y
_atom_site_fract_z
Sr1 Sr 0.0000 0.0000 0.0000
Ga1 Ga 0.0000 0.0000 0.5000
I1 I 0.2500 0.2500 0.2500
```

Summary:
* Fermi-level density of states: 0.904 states/eV per atom
* uncorrected formation energy: -789 meV per atom

# 8
# Sr2Ga2I7

A relaxed structure of Sr2Ga2I7 (PBE, the Alexandria database).

Cell and atoms, written as CIF:
```
data_Sr2Ga2I7
_chemical_formula_sum 'Sr4 Ga4 I14'
_symmetry_space_group_name_H-M 'C 1 2/m 1'
_symmetry_Int_Tables_number 12
_cell_length_a 9.5488
_cell_length_b 14.2546
_cell_length_c 8.3734
_cell_angle_alpha 90.00
_cell_angle_beta 96.70
_cell_angle_gamma 90.00
loop_
_symmetry_equiv_pos_as_xyz
'x,y,z'
'-x,-y,-z'
'-x,y,-z'
'x,-y,z'
'x+1/2,y+1/2,z'
'-x+1/2,-y+1/2,-z'
'-x+1/2,y+1/2,-z'
'x+1/2,-y+1/2,z'
loop_
_atom_site_label
_atom_site_type_symbol
_atom_site_fract_x
_atom_site_fract_y
_atom_site_fract_z
Sr1 Sr 0.0000 0.1830 0.0000
Ga1 Ga 0.2312 0.0000 0.6070
I1 I 0.0000 0.5000 0.5000
I2 I 0.0773 0.0000 0.2481
I3 I 0.2373 0.3092 0.2250
```

Summary:
* Fermi-level density of states: 0.445 states/eV per atom
* uncorrected formation energy: -1008 meV per atom